Entry 1:
Density functional theory data (PBE) for a relaxed structure of Pm4TlAg2.

Density of states at the Fermi level (states/eV per cell): 28.75
ΔH_f (0 K) (eV per atom): -0.0485
Excess energy over the best structure of this formula in the dataset (meV/atom): 115
Calculated volume (Å³/cell): 658
Crystal system: trigonal

Unit cell a=5.1079 b=5.1079 c=29.0992 alpha=90.00 beta=90.00 gamma=120.00
Space group R-3m (No. 166, hexagonal axes)
Unique sites:
Pm  0.0000  0.0000  0.1203
Pm  0.0000  0.0000  0.2949
Tl  0.0000  0.0000  0.5000
Ag  0.0000  0.0000  0.3992

Entry 2:
Density functional theory data (PBE) for a relaxed structure of Na6Hg3F14.

Formation energy from raw total energies (eV per atom): -1.99
Density of states at the Fermi level (states/eV per cell): 11.05
Calculated volume (Å³/cell): 373
Crystal system: trigonal

Unit cell a=8.6116 b=8.6116 c=5.8099 alpha=90.00 beta=90.00 gamma=120.00
Space group P3 (No. 143)
Unique sites:
Na  0.0570  0.4559  0.0000
Na  0.2390  0.2210  0.4927
Hg  0.0000  0.0000  0.0253
Hg  0.3333  0.6667  0.5392
Hg  0.6667  0.3333  0.5112
F  0.0000  0.0000  0.6612
F  0.0312  0.2275  0.2476
F  0.1565  0.7251  0.7684
F  0.3333  0.6667  0.1748
F  0.4390  0.1705  0.7212
F  0.5002  0.3959  0.3038

Entry 3:
Density functional theory data (PBE) for a relaxed structure of BeSn2HgC.

Density of states at the Fermi level (states/eV per cell): 2.33
ΔH_f (0 K) (eV per atom): 0.6614
Calculated volume (Å³/cell): 99
Crystal system: tetragonal

Unit cell a=5.5144 b=5.5144 c=3.2706 alpha=90.00 beta=90.00 gamma=90.00
Space group P4/mmm (No. 123)
Unique sites:
Be  0.0000  0.0000  0.0000
Sn  0.0000  0.5000  0.0000
Hg  0.5000  0.5000  0.5000
C  0.0000  0.0000  0.5000

Entry 4:
Density functional theory data (PBE) for a relaxed structure of U3PdS6.

Formation energy from raw total energies (eV per atom): -1.10
Density of states at the Fermi level (states/eV per cell): 119.39
Excess energy over the best structure of this formula in the dataset (meV/atom): 160
Calculated volume (Å³/cell): 1434
Crystal system: trigonal

Unit cell a=11.1154 b=11.1154 c=13.3979 alpha=90.00 beta=90.00 gamma=120.00
Space group R-3 (No. 148, hexagonal axes)
Unique sites:
U  0.0528  0.2768  0.1988
Pd  0.0000  0.0000  0.0000
Pd  0.0000  0.0000  0.5000
S  0.0194  0.2088  0.3932
S  0.0321  0.1905  0.8763

Question: Among the records above, which one has the highest density of states at the Fermi level?
Answer: U3PdS6

Question: The highest calculated volume belongs to which entry?
Answer: U3PdS6